1.
Entry from the Alexandria database: CaMgTl2Br6 after structural relaxation (PBE).

a b c (Å): 7.767 7.767 7.766
angles (deg): 59.99 59.99 59.99
Fractional coordinates of all 10 atoms:
Ca (0.818, 0.818, 0.545)
Mg (0.319, 0.319, 0.043)
Tl (0.543, 0.543, 0.370)
Tl (0.044, 0.045, 0.866)
Br (0.567, 0.151, 0.275)
Br (0.151, 0.008, 0.275)
Br (0.008, 0.567, 0.274)
Br (0.488, 0.634, 0.789)
Br (0.634, 0.089, 0.789)
Br (0.089, 0.488, 0.789)

The uncorrected formation energy is -13.7 eV per formula unit.

2.
Entry from the Alexandria database: TbSm6Ho6 after structural relaxation (PBE).

a b c (Å): 6.700 6.700 11.373
angles (deg): 90.00 90.00 120.00
Each line ends with the local moment (μB).
Fractional coordinates of all 13 atoms:
Tb (0.000, 0.000, 0.000)  0.06
Sm (0.000, 0.000, 0.656)  0.13
Sm (0.000, 0.000, 0.344)  0.13
Sm (0.333, 0.667, 0.000)  0.03
Sm (0.667, 0.333, 0.000)  0.03
Sm (0.333, 0.667, 0.500)  0.19
Sm (0.667, 0.333, 0.500)  0.19
Ho (0.000, 0.500, 0.755)  0.12
Ho (0.500, 0.000, 0.755)  0.12
Ho (0.500, 0.500, 0.754)  0.12
Ho (0.500, 0.000, 0.245)  0.12
Ho (0.000, 0.500, 0.245)  0.12
Ho (0.500, 0.500, 0.246)  0.12

The value obtained for the formation enthalpy at 0 K is 3.60 eV/f.u.

3.
Entry from the Alexandria database: SmNiP after structural relaxation (PBE).

a b c (Å): 3.933 3.933 7.996
angles (deg): 90.00 90.00 120.00
Fractional coordinates of all 6 atoms:
Ni (0.333, 0.667, 0.750)
Ni (0.667, 0.333, 0.250)
Sm (0.000, 0.000, 0.000)
Sm (0.000, 0.000, 0.500)
P (0.333, 0.667, 0.250)
P (0.667, 0.333, 0.750)

The value obtained for the formation enthalpy at 0 K is -3.56 eV/f.u.